Record 1
Density functional theory data (GGA-PBEsol) for a relaxed Cr3W4 crystal.

```
7
Lattice="-2.9505 -3.4049 -1.5584 4.5454 -1.0505 0.9813 -1.2500 -1.0515 4.6642" Properties=species:S:1:pos:R:3 pbc="T T T"
Cr 2.2727 -0.5253 0.4907
Cr -1.4753 -1.7024 -0.7792
Cr 0.7974 -2.2277 -0.2885
W -0.9358 -0.7872 3.4916
W -0.3143 -0.2644 1.1726
W 1.4217 -2.3611 2.4669
W -1.0769 -3.1459 1.6203
```

Properties
space-group type = No. 191
relative energy among the computed polymorphs = 0 meV per atom

Record 2
Density functional theory data (GGA-PBEsol) for a relaxed CrW3 crystal.

```
4
Lattice="-2.5349 0.6390 -1.2557 -2.4664 -1.0739 1.0835 -2.4094 6.4650 4.8046" Properties=species:S:1:pos:R:3 pbc="T T T"
Cr 0.0000 0.0000 0.0000
W -1.8409 1.4030 1.0812
W -3.7054 3.0150 2.3162
W -5.5698 4.6271 3.5511
```

Properties
space-group type = No. 166

Record 3
Density functional theory data (GGA-PBEsol) for a relaxed Cr5W11 crystal.

```
16
Lattice="6.1306 0.0000 -0.0031 0.0000 6.1370 0.0000 -0.0235 0.0000 6.1396" Properties=species:S:1:pos:R:3 pbc="T T T"
Cr 3.0486 0.0000 0.0257
Cr 3.0362 0.0000 3.0414
Cr 1.5386 1.5170 1.5416
Cr -0.0030 3.0685 3.0589
Cr 1.5386 4.6200 1.5416
W 0.0445 0.0000 0.0325
W 0.0331 0.0000 3.0335
W 4.5679 1.5154 1.5481
W 4.5669 1.5186 4.5874
W 1.5325 1.5182 4.5842
W 0.0317 3.0685 0.0468
W 3.0337 3.0685 0.0272
W 3.0060 3.0685 3.0310
W 4.5679 4.6216 1.5481
W 4.5669 4.6184 4.5874
W 1.5325 4.6188 4.5842
```

Properties
space-group type = No. 6

Record 4
Density functional theory data (GGA-PBEsol) for a relaxed CrW7 crystal.

```
16
Lattice="-4.9349 2.7496 2.6590 1.9845 -1.8496 5.6236 3.2586 5.2916 0.6038" Properties=species:S:1:pos:R:3 pbc="T T T"
Cr 0.2698 5.4223 7.7823
Cr 0.0383 0.7692 1.1040
W 0.1932 3.8824 5.5722
W 2.6836 2.4959 4.2318
W -0.8082 4.8168 2.7358
W 1.6851 3.4340 1.3943
W 2.7652 4.0427 6.4530
W -0.7329 6.3678 4.9543
W 1.7593 4.9785 3.6174
W -1.4512 1.2131 5.2690
W 1.0410 -0.1763 3.9321
W -2.4571 2.1489 2.4333
W -1.3770 2.7576 7.4920
W 1.1163 1.3747 6.1506
W -2.3755 3.6957 4.6545
W 0.1149 2.3091 3.3141
```

Properties
space-group type = No. 166

Record 5
Density functional theory data (GGA-PBEsol) for a relaxed CrW3 crystal.

```
4
Lattice="-0.9383 -0.5854 2.4584 1.3052 -4.6681 -1.5988 3.8041 3.1756 1.2229" Properties=species:S:1:pos:R:3 pbc="T T T"
Cr 0.0000 0.0000 0.0000
W 1.4329 1.2951 1.8406
W 2.5546 -0.7463 -0.1880
W 0.1834 -2.6268 0.4298
```

Properties
space-group type = No. 166

Record 6
Density functional theory data (GGA-PBEsol) for a relaxed CrW3 crystal.

```
8
Lattice="4.3571 0.0000 0.0000 0.0000 5.3451 -0.0034 0.0000 -1.7958 5.0344" Properties=species:S:1:pos:R:3 pbc="T T T"
Cr 1.0893 2.6578 1.8925
Cr 3.2678 0.8915 3.1386
W 3.2678 1.7947 0.6604
W 3.2678 4.4449 0.6317
W 1.0893 0.0203 1.9123
W 3.2678 3.5290 3.1187
W 1.0893 -0.8955 4.3993
W 1.0893 1.7546 4.3706
```

Properties
space-group type = No. 63

Record 7
Density functional theory data (GGA-PBEsol) for a relaxed CrW2 crystal.

```
3
Lattice="-1.3239 1.1627 -2.0187 -3.7108 -0.5564 2.1131 2.2864 3.6035 0.5760" Properties=species:S:1:pos:R:3 pbc="T T T"
Cr 0.0000 0.0000 0.0000
W -2.6057 1.6154 0.2375
W -0.1425 2.5944 0.4329
```

Properties
space-group type = No. 164
relative energy among the computed polymorphs = 31 meV per atom

Record 8
Density functional theory data (GGA-PBEsol) for a relaxed CrW3 crystal.

```
16
Lattice="6.1702 0.0036 -0.0012 0.0368 6.1701 -0.0012 -0.0095 -0.0094 6.1787" Properties=species:S:1:pos:R:3 pbc="T T T"
Cr -0.0037 -0.0037 6.1676
Cr 0.0012 0.0012 3.0995
Cr 1.5410 1.5327 4.6253
Cr 3.0940 3.0773 3.0941
W 0.0249 3.0552 6.1632
W 0.0354 3.0593 3.1060
W 1.5511 4.6413 1.5587
W 1.5423 4.6479 4.6186
W 1.5325 1.5243 1.5622
W 3.0553 0.0084 6.1632
W 3.0595 0.0189 3.1060
W 3.0797 3.0631 6.1559
W 4.6668 4.6417 1.5570
W 4.6619 4.6368 4.6170
W 4.6496 1.5260 1.5587
W 4.6562 1.5172 4.6186
```

Properties
space-group type = No. 8

Record 9
Density functional theory data (GGA-PBEsol) for a relaxed Cr3W5 crystal.

```
16
Lattice="6.0954 0.0000 0.0000 0.0000 6.0950 -0.0006 0.0000 -0.0054 6.0950" Properties=species:S:1:pos:R:3 pbc="T T T"
Cr 3.0477 6.0555 6.0603
Cr 3.0477 6.0771 3.0723
Cr 1.5586 4.5721 4.5757
Cr 4.5368 4.5721 4.5757
Cr 3.0477 3.0675 6.0796
Cr 0.0000 3.0552 3.0577
W 0.0000 6.0589 6.0637
W 0.0000 6.0445 3.0808
W 1.5586 4.5716 1.5186
W 4.5368 4.5716 1.5186
W 0.0000 3.0760 6.0470
W 3.0477 3.0965 3.0989
W 1.5558 1.5238 1.5250
W 4.5396 1.5238 1.5250
W 1.5586 1.5149 4.5728
W 4.5368 1.5149 4.5728
```

Properties
space-group type = No. 38

Record 10
Density functional theory data (GGA-PBEsol) for a relaxed CrW2 crystal.

```
3
Lattice="-0.8572 2.2375 -1.1886 -2.0731 -1.6153 0.4968 0.6975 2.4337 6.0667" Properties=species:S:1:pos:R:3 pbc="T T T"
Cr 0.0000 0.0000 0.0000
W -1.7122 1.1944 1.4951
W -0.5206 1.8615 3.8798
```

Properties
space-group type = No. 69
relative energy among the computed polymorphs = 30 meV per atom

Record 11
Density functional theory data (GGA-PBEsol) for a relaxed CrW2 crystal.

```
6
Lattice="-0.4547 -2.3747 -1.8830 2.1867 -2.5719 2.7153 -5.2571 -0.2131 4.0320" Properties=species:S:1:pos:R:3 pbc="T T T"
Cr -3.1759 -4.2879 3.6806
Cr -0.3493 -0.8717 1.1837
W 0.5493 -3.3367 1.5815
W -4.0744 -1.8229 3.2828
W -1.1217 -2.6341 3.5927
W -2.4034 -2.5255 1.2716
```

Properties
space-group type = No. 63
relative energy among the computed polymorphs = 0 meV per atom

Record 12
Density functional theory data (GGA-PBEsol) for a relaxed CrW3 crystal.

```
4
Lattice="2.6895 0.0000 0.0009 0.0000 4.3474 0.0000 -0.8847 0.0000 5.0330" Properties=species:S:1:pos:R:3 pbc="T T T"
Cr 0.0000 0.0000 0.0000
W -0.0064 2.1737 3.7997
W 0.9024 0.0000 2.5169
W 1.8112 2.1737 1.2341
```

Properties
space-group type = No. 10

no.,ΔE_f (eV/atom),E (eV/cell)
1,0.08,-85.4
2,0.46,-49.8
3,0.10,-201.5
4,0.05,-213.0
5,0.09,-51.3
6,0.07,-102.8
7,0.10,-37.6
8,0.08,-205.3
9,0.10,-197.9
10,0.10,-37.6
11,0.07,-75.3
12,0.09,-51.3